(1)
DFT (PBE) results for CsBaCu2F8 after structural relaxation.

Unit cell a=5.6807 b=5.6807 c=9.4368 alpha=90.00 beta=90.00 gamma=120.00
Space group P-3 (No. 147)
Inequivalent atoms, fractional coordinates:
Cs: 0.0000 0.0000 0.0000 (multiplicity 1)
Ba: 0.0000 0.0000 0.5000 (multiplicity 1)
Cu: 0.3333 0.6667 0.7784 (multiplicity 2)
F: 0.0564 0.3581 0.6886 (multiplicity 6)
F: 0.3333 0.6667 0.9747 (multiplicity 2)

Summary:
The value obtained for the uncorrected formation energy is -2.148 eV/atom. As for the density of states at the Fermi level: 13.23 states/eV/f.u. Its magnetic moment is 0.25 μB per atom. Its density is 3.46 g/cm3.

***

(2)
DFT (PBE) results for Cs2BaCu3F12 after structural relaxation.

Unit cell a=7.6340 b=7.6340 c=17.9456 alpha=90.00 beta=90.00 gamma=120.00
Space group R-3m (No. 166, hexagonal axes)
Inequivalent atoms, fractional coordinates:
Cs: 0.0000 0.0000 0.1096 (multiplicity 6)
Ba: 0.0000 0.0000 0.5000 (multiplicity 3)
Cu: 0.0000 0.5000 0.0000 (multiplicity 9)
F: 0.0340 0.5170 0.8957 (multiplicity 18)
F: 0.0870 0.5435 0.3177 (multiplicity 18)

Summary:
The value obtained for the uncorrected formation energy is -2.211 eV/atom. As for the density of states at the Fermi level: 7.63 states/eV/f.u. Its magnetic moment is 0.18 μB per atom. Its density is 4.52 g/cm3.